Compound: Sr2CoTcS6
Source: OQMD
Functional: PBE-GGA
Structure: relaxed

Properties
energy relative to the lowest polymorph listed for this composition: 0.0000 eV/atom
M_tot: 0.25 μB/f.u.

a b c (Å): 6.322 6.331 6.361
angles (deg): 63.36 65.02 64.34
Positions (direct):
Sr1 0.239 0.248 0.239
Sr2 0.761 0.752 0.761
Co1 0.000 0.000 0.000
Tc1 0.500 0.500 0.500
S1 0.173 0.316 0.727
S2 0.248 0.828 0.681
S3 0.325 0.753 0.164
S4 0.675 0.247 0.836
S5 0.752 0.172 0.319
S6 0.827 0.684 0.273

=====

Compound: Sr2CoTcS6
Source: OQMD
Functional: PBE-GGA
Structure: relaxed

Properties
energy relative to the lowest polymorph listed for this composition: 0.0028 eV/atom
M_tot: 2.00 μB/f.u.

a b c (Å): 6.507 6.507 6.896
angles (deg): 121.77 121.77 58.32
Positions (direct):
Sr1 0.240 0.240 0.240
Sr2 0.760 0.760 0.760
Co1 0.500 0.500 0.000
Tc1 0.000 0.000 0.500
S1 0.213 0.688 0.697
S2 0.257 0.257 0.842
S3 0.312 0.787 0.303
S4 0.688 0.213 0.697
S5 0.743 0.743 0.158
S6 0.787 0.312 0.303

=====

Compound: TaCoS
Source: OQMD
Functional: PBE-GGA
Structure: relaxed

Properties
M_tot: 0.00 μB/f.u.
energy: -7.611 eV per atom

a b c (Å): 3.829 3.829 10.666
angles (deg): 90.00 90.00 120.00
Positions (direct):
Ta1 0.000 0.000 0.000
Ta2 0.667 0.333 0.351
Ta3 0.667 0.333 0.649
Co1 0.000 0.000 0.251
Co2 0.000 0.000 0.749
Co3 0.667 0.333 0.000
S1 0.333 0.667 0.186
S2 0.333 0.667 0.500
S3 0.333 0.667 0.814

=====

Compound: Tl4CoS4
Source: OQMD
Functional: PBE-GGA
Structure: relaxed

Properties
M_tot: 2.95 μB/f.u.
energy: -3.907 eV per atom

a b c (Å): 8.358 8.358 7.389
angles (deg): 104.02 104.02 86.95
Positions (direct):
Tl1 0.004 0.996 0.500
Tl2 0.184 0.611 0.016
Tl3 0.193 0.452 0.489
Tl4 0.452 0.193 0.989
Tl5 0.579 0.787 0.064
Tl6 0.611 0.184 0.516
Tl7 0.787 0.579 0.564
Tl8 0.996 0.004 0.000
Co1 0.408 0.819 0.536
Co2 0.819 0.408 0.036
S1 0.248 0.806 0.726
S2 0.306 0.993 0.362
S3 0.444 0.580 0.338
S4 0.580 0.444 0.838
S5 0.646 0.923 0.715
S6 0.806 0.248 0.226
S7 0.923 0.646 0.215
S8 0.993 0.306 0.862

=====

Compound: Tm2CoS4
Source: OQMD
Functional: PBE-GGA
Structure: relaxed

Properties
M_tot: 3.00 μB/f.u.
energy: -6.087 eV per atom

a b c (Å): 7.633 7.633 7.633
angles (deg): 60.00 60.00 60.00
Positions (direct):
Tm1 0.000 0.000 0.000
Tm2 0.000 0.000 0.500
Tm3 0.000 0.500 0.000
Tm4 0.500 0.000 0.000
Co1 0.375 0.375 0.375
Co2 0.625 0.625 0.625
S1 0.249 0.750 0.750
S2 0.250 0.250 0.250
S3 0.250 0.250 0.751
S4 0.250 0.751 0.250
S5 0.750 0.249 0.750
S6 0.750 0.750 0.249
S7 0.750 0.750 0.750
S8 0.751 0.250 0.250

=====

Compound: U2CoS5
Source: OQMD
Functional: PBE-GGA
Structure: relaxed

Properties
M_tot: 3.90 μB/f.u.
energy: -7.401 eV per atom

a b c (Å): 7.826 7.826 6.896
angles (deg): 96.54 96.54 45.35
Positions (direct):
U1 0.098 0.685 0.916
U2 0.315 0.902 0.584
U3 0.685 0.098 0.416
U4 0.902 0.315 0.084
Co1 0.000 0.500 0.500
Co2 0.500 0.000 0.000
S1 0.094 0.906 0.250
S2 0.141 0.304 0.808
S3 0.290 0.526 0.573
S4 0.304 0.141 0.308
S5 0.474 0.710 0.927
S6 0.526 0.290 0.073
S7 0.696 0.859 0.692
S8 0.710 0.474 0.427
S9 0.859 0.696 0.192
S10 0.906 0.094 0.750

=====

Compound: U8CoS17
Source: OQMD
Functional: PBE-GGA
Structure: relaxed

Properties
M_tot: 17.02 μB/f.u.
energy: -7.789 eV per atom

a b c (Å): 7.747 7.747 10.220
angles (deg): 99.79 99.79 64.41
Positions (direct):
U1 0.181 0.698 0.796
U2 0.202 0.202 0.953
U3 0.302 0.819 0.204
U4 0.318 0.318 0.482
U5 0.682 0.682 0.518
U6 0.698 0.181 0.796
U7 0.798 0.798 0.047
U8 0.819 0.302 0.204
Co1 0.000 0.000 0.500
S1 0.000 0.000 0.000
S2 0.055 0.055 0.722
S3 0.055 0.681 0.526
S4 0.181 0.566 0.035
S5 0.214 0.214 0.221
S6 0.300 0.300 0.742
S7 0.319 0.945 0.474
S8 0.434 0.819 0.965
S9 0.479 0.479 0.330
S10 0.521 0.521 0.670
S11 0.566 0.181 0.035
S12 0.681 0.055 0.526
S13 0.700 0.700 0.258
S14 0.786 0.786 0.779
S15 0.819 0.434 0.965
S16 0.945 0.319 0.474
S17 0.945 0.945 0.278

=====

Compound: ZnCo2S4
Source: OQMD
Functional: PBE-GGA
Structure: relaxed

Properties
M_tot: 0.00 μB/f.u.
energy: -5.063 eV per atom

a b c (Å): 6.809 6.809 6.809
angles (deg): 60.00 60.00 60.00
Positions (direct):
Zn1 0.125 0.125 0.125
Zn2 0.875 0.875 0.875
Co1 0.000 0.500 0.500
Co2 0.500 0.000 0.500
Co3 0.500 0.500 0.000
Co4 0.500 0.500 0.500
S1 0.266 0.266 0.266
S2 0.266 0.266 0.702
S3 0.266 0.702 0.266
S4 0.298 0.734 0.734
S5 0.702 0.266 0.266
S6 0.734 0.298 0.734
S7 0.734 0.734 0.298
S8 0.734 0.734 0.734

=====

Compound: CoSb
Source: OQMD
Functional: PBE-GGA
Structure: relaxed

Properties
M_tot: 0.00 μB/f.u.
energy: -5.777 eV per atom

a b c (Å): 3.879 3.879 5.164
angles (deg): 90.00 90.00 120.00
Positions (direct):
Co1 0.000 0.000 0.000
Co2 0.000 0.000 0.500
Sb1 0.333 0.667 0.250
Sb2 0.667 0.333 0.750

=====

Compound: Co17Sb
Source: OQMD
Functional: PBE-GGA
Structure: relaxed

Properties
energy relative to the lowest polymorph listed for this composition: 0.0000 eV/atom
M_tot: 27.27 μB/f.u.

a b c (Å): 4.288 4.945 30.984
angles (deg): 90.00 90.04 90.00
Positions (direct):
Co1 0.000 0.000 0.000
Co2 0.000 0.500 0.000
Co3 0.002 0.001 0.804
Co4 0.002 0.499 0.804
Co5 0.165 0.250 0.131
Co6 0.166 0.250 0.935
Co7 0.166 0.750 0.741
Co8 0.167 0.750 0.935
Co9 0.169 0.750 0.130
Co10 0.333 0.000 0.065
Co11 0.333 0.000 0.870
Co12 0.333 0.500 0.065
Co13 0.333 0.500 0.870
Co14 0.335 0.005 0.259
Co15 0.335 0.495 0.259
Co16 0.497 0.750 0.195
Co17 0.499 0.250 0.000
Co18 0.500 0.250 0.196
Co19 0.500 0.750 0.804
Co20 0.501 0.750 0.000
Co21 0.503 0.250 0.805
Co22 0.665 0.505 0.741
Co23 0.665 0.995 0.741
Co24 0.667 0.000 0.130
Co25 0.667 0.000 0.935
Co26 0.667 0.500 0.130
Co27 0.667 0.500 0.935
Co28 0.831 0.250 0.870
Co29 0.833 0.250 0.065
Co30 0.834 0.250 0.259
Co31 0.834 0.750 0.065
Co32 0.835 0.750 0.869
Co33 0.998 0.501 0.196
Co34 0.998 0.999 0.196
Sb1 0.164 0.250 0.715
Sb2 0.836 0.750 0.285

=====

Compound: Co9Sb2
Source: OQMD
Functional: PBE-GGA
Structure: relaxed

Properties
M_tot: 15.21 μB/f.u.
energy: -6.103 eV per atom

a b c (Å): 2.784 2.784 32.243
angles (deg): 90.00 90.00 120.00
Positions (direct):
Co1 0.000 0.000 0.000
Co2 0.000 0.000 0.172
Co3 0.000 0.000 0.828
Co4 0.333 0.667 0.114
Co5 0.333 0.667 0.771
Co6 0.333 0.667 0.943
Co7 0.667 0.333 0.057
Co8 0.667 0.333 0.229
Co9 0.667 0.333 0.886
Sb1 0.333 0.667 0.294
Sb2 0.667 0.333 0.706

=====

Compound: Co8Sb
Source: OQMD
Functional: PBE-GGA
Structure: relaxed

Properties
M_tot: 12.05 μB/f.u.
energy: -6.726 eV per atom

a b c (Å): 4.277 4.277 27.994
angles (deg): 90.27 90.27 48.48
Positions (direct):
Co1 0.048 0.048 0.402
Co2 0.049 0.049 0.680
Co3 0.150 0.150 0.486
Co4 0.251 0.251 0.291
Co5 0.252 0.252 0.570
Co6 0.348 0.348 0.654
Co7 0.349 0.349 0.374
Co8 0.449 0.449 0.458
Co9 0.551 0.551 0.542
Co10 0.651 0.651 0.626
Co11 0.652 0.652 0.346
Co12 0.748 0.748 0.430
Co13 0.749 0.749 0.709
Co14 0.850 0.850 0.514
Co15 0.951 0.951 0.320
Co16 0.952 0.952 0.598
Sb1 0.450 0.450 0.748
Sb2 0.550 0.550 0.252

=====

Compound: Co7Sb
Source: OQMD
Functional: PBE-GGA
Structure: relaxed

Properties
M_tot: 10.84 μB/f.u.
energy: -6.608 eV per atom

a b c (Å): 2.645 3.358 33.464
angles (deg): 90.00 90.00 90.00
Positions (direct):
Co1 0.250 0.250 0.018
Co2 0.250 0.250 0.092
Co3 0.250 0.250 0.165
Co4 0.250 0.250 0.239
Co5 0.250 0.250 0.799
Co6 0.250 0.250 0.872
Co7 0.250 0.250 0.945
Co8 0.750 0.750 0.055
Co9 0.750 0.750 0.128
Co10 0.750 0.750 0.201
Co11 0.750 0.750 0.761
Co12 0.750 0.750 0.835
Co13 0.750 0.750 0.908
Co14 0.750 0.750 0.982
Sb1 0.250 0.250 0.713
Sb2 0.750 0.750 0.287

=====

Compound: Co10Sb
Source: OQMD
Functional: PBE-GGA
Structure: relaxed

Properties
M_tot: 15.24 μB/f.u.
energy: -6.790 eV per atom

a b c (Å): 4.262 4.262 28.971
angles (deg): 90.31 90.31 48.21
Positions (direct):
Co1 0.049 0.049 0.177
Co2 0.049 0.049 0.904
Co3 0.147 0.147 0.258
Co4 0.150 0.150 0.986
Co5 0.250 0.250 0.068
Co6 0.254 0.254 0.796
Co7 0.349 0.349 0.877
Co8 0.350 0.350 0.150
Co9 0.448 0.448 0.230
Co10 0.450 0.450 0.959
Co11 0.550 0.550 0.041
Co12 0.552 0.552 0.770
Co13 0.650 0.650 0.850
Co14 0.651 0.651 0.123
Co15 0.746 0.746 0.204
Co16 0.750 0.750 0.932
Co17 0.850 0.850 0.014
Co18 0.853 0.853 0.742
Co19 0.951 0.951 0.096
Co20 0.951 0.951 0.823
Sb1 0.150 0.150 0.704
Sb2 0.850 0.850 0.296

=====

Compound: Co7Sb2
Source: OQMD
Functional: PBE-GGA
Structure: relaxed

Properties
M_tot: 11.79 μB/f.u.
energy: -5.964 eV per atom

a b c (Å): 2.844 2.844 28.251
angles (deg): 90.00 90.00 120.00
Positions (direct):
Co1 0.000 0.000 0.000
Co2 0.000 0.000 0.192
Co3 0.000 0.000 0.808
Co4 0.333 0.667 0.127
Co5 0.333 0.667 0.936
Co6 0.667 0.333 0.064
Co7 0.667 0.333 0.873
Sb1 0.333 0.667 0.734
Sb2 0.667 0.333 0.266

=====

Compound: CoSb
Source: OQMD
Functional: PBE-GGA
Structure: relaxed

Properties
M_tot: 0.06 μB/f.u.
energy: -5.317 eV per atom

a b c (Å): 3.165 3.165 3.220
angles (deg): 90.00 90.00 90.00
Positions (direct):
Co1 0.000 0.000 0.000
Sb1 0.500 0.500 0.500

=====

Compound: Co2Sb3
Source: OQMD
Functional: PBE-GGA
Structure: relaxed

Properties
M_tot: 0.18 μB/f.u.
energy: -5.447 eV per atom

a b c (Å): 6.493 6.493 6.493
angles (deg): 60.05 60.05 60.05
Positions (direct):
Co1 0.166 0.166 0.166
Co2 0.334 0.334 0.334
Co3 0.666 0.666 0.666
Co4 0.834 0.834 0.834
Sb1 0.090 0.750 0.410
Sb2 0.250 0.590 0.910
Sb3 0.410 0.090 0.750
Sb4 0.590 0.910 0.250
Sb5 0.750 0.410 0.090
Sb6 0.910 0.250 0.590

=====

Compound: Co7Sb
Source: OQMD
Functional: PBE-GGA
Structure: relaxed

Properties
M_tot: 11.56 μB/f.u.
energy: -6.548 eV per atom

a b c (Å): 2.740 2.740 34.838
angles (deg): 90.00 90.00 90.00
Positions (direct):
Co1 0.250 0.250 0.021
Co2 0.250 0.250 0.106
Co3 0.250 0.250 0.190
Co4 0.250 0.250 0.276
Co5 0.250 0.250 0.767
Co6 0.250 0.250 0.852
Co7 0.250 0.250 0.937
Co8 0.750 0.750 0.063
Co9 0.750 0.750 0.148
Co10 0.750 0.750 0.233
Co11 0.750 0.750 0.724
Co12 0.750 0.750 0.810
Co13 0.750 0.750 0.894
Co14 0.750 0.750 0.979
Sb1 0.250 0.250 0.670
Sb2 0.750 0.750 0.330

=====

Compound: CoSb
Source: OQMD
Functional: PBE-GGA
Structure: relaxed

Properties
M_tot: 0.02 μB/f.u.
energy: -5.442 eV per atom

a b c (Å): 3.537 3.537 3.164
angles (deg): 90.00 90.00 120.00
Positions (direct):
Co1 0.000 0.000 0.000
Sb1 0.667 0.333 0.500